1.
# Y2Ni16H

A geometry-optimized Y2Ni16H structure (PBE, the Alexandria database).

```
Y2Ni16H
1.0
-2.277 -3.641 -4.518
4.275 -4.507 0.515
-3.349 -3.715 3.719
Y Ni H
2 16 1
direct
0.666 0.666 0.666
0.340 0.340 0.340
0.702 0.997 0.293
0.997 0.293 0.702
0.293 0.702 0.997
0.997 0.702 0.293
0.702 0.293 0.997
0.293 0.997 0.702
0.344 0.845 0.344
0.845 0.344 0.344
0.344 0.344 0.845
0.652 0.154 0.652
0.154 0.652 0.652
0.652 0.652 0.154
0.001 0.494 0.001
0.494 0.001 0.001
0.001 0.001 0.494
0.074 0.074 0.074
0.948 0.948 0.948
```

Values from the calculation:
- SG: No. 160
- DFT total energy: -110.9 eV per cell
- Crystal system: trigonal

2.
# LiCa2Ni2

A geometry-optimized LiCa2Ni2 structure (PBE, the Alexandria database).

```
LiCa2Ni2
1.0
-1.918 -1.610 -3.248
2.696 -2.929 -0.140
-5.227 -2.304 4.228
Li Ca Ni
1 2 2
direct
0.000 0.000 0.000
0.500 0.642 0.284
0.500 0.358 0.716
0.000 0.206 0.412
0.000 0.794 0.588
```

Values from the calculation:
- Offset from the most stable computed form: 0.00 eV/f.u.
- Formation energy: -39 kJ/mol of formula units
- SG: No. 65
- Crystal system: orthorhombic

3.
# CeDyZnSi

A geometry-optimized CeDyZnSi structure (PBE, the Alexandria database).

```
CeDyZnSi
1.0
-1.808 -4.002 -2.449
-1.226 -4.161 2.543
-4.830 -1.296 0.522
Zn Si Ce Dy
1 1 1 1
direct
0.250 0.250 0.250
0.750 0.750 0.750
0.000 0.000 0.000
0.500 0.500 0.500
```

Values from the calculation:
- SG: No. 216
- Crystal system: cubic
- Formation energy from raw total energies: -0.41 eV/atom

4.
# Ba3AcHg4

A geometry-optimized Ba3AcHg4 structure (PBE, the Alexandria database).

```
Ba3AcHg4
1.0
-1.028 3.957 -0.710
-1.998 -1.139 -3.454
-14.136 -2.083 8.864
Ac Ba Hg
1 3 4
direct
0.500 0.500 0.000
0.500 0.500 0.245
0.500 0.500 0.500
0.500 0.500 0.755
0.000 0.000 0.887
0.000 0.000 0.113
0.000 0.000 0.373
0.000 0.000 0.627
```

Values from the calculation:
- Formation energy: -400 kJ/mol of formula units
- SG: No. 123
- Crystal system: tetragonal

5.
# CoTc2Ru

A geometry-optimized CoTc2Ru structure (PBE, the Alexandria database).

```
CoTc2Ru
1.0
3.737 -2.052 -0.321
1.013 -3.050 2.820
0.092 -4.096 -1.222
Ru Co Tc
1 1 2
direct
0.500 0.500 0.500
0.000 0.000 0.000
0.250 0.250 0.250
0.750 0.750 0.750
```

Values from the calculation:
- Offset from the most stable computed form: 1.78 eV/f.u.
- Formation energy: 158 kJ/mol of formula units
- SG: No. 225
- Crystal system: cubic

6.
# Ac2In3Cu2

A geometry-optimized Ac2In3Cu2 structure (PBE, the Alexandria database).

```
Ac2In3Cu2
1.0
4.725 0.000 -1.127
0.000 7.551 0.000
0.032 0.000 10.607
Ac In Cu
4 6 4
direct
0.169 0.250 0.339
0.831 0.750 0.661
0.952 0.250 0.904
0.048 0.750 0.096
0.217 0.750 0.433
0.783 0.250 0.567
0.567 0.437 0.135
0.433 0.563 0.865
0.433 0.937 0.865
0.567 0.063 0.135
0.685 0.918 0.370
0.315 0.082 0.630
0.315 0.418 0.630
0.685 0.582 0.370
```

Values from the calculation:
- Offset from the most stable computed form: 0.00 eV/f.u.
- Formation energy: -171 kJ/mol of formula units
- SG: No. 63
- Crystal system: orthorhombic

7.
# IrRuSe

A geometry-optimized IrRuSe structure (PBE, the Alexandria database).

```
IrRuSe
1.0
-2.342 1.334 1.089
0.903 -2.516 1.144
3.627 3.113 3.986
Ir Ru Se
1 1 1
direct
0.000 0.000 0.000
0.667 0.333 0.347
0.333 0.667 0.653
```

Values from the calculation:
- Offset from the most stable computed form: 0.16 eV/f.u.
- SG: No. 156
- Crystal system: trigonal
- Formation energy from raw total energies: 0.33 eV/atom

8.
# Er5Co2Pd2

A geometry-optimized Er5Co2Pd2 structure (PBE, the Alexandria database).

```
Er5Co2Pd2
1.0
-6.762 -2.376 0.458
0.843 -3.590 -6.178
-1.010 -7.197 4.044
Er Co Pd
10 4 4
direct
0.000 0.000 0.000
0.500 0.500 0.000
0.452 0.179 0.735
0.812 0.821 0.735
0.312 0.679 0.735
0.952 0.321 0.735
0.548 0.821 0.265
0.188 0.179 0.265
0.688 0.321 0.265
0.048 0.679 0.265
0.112 0.389 0.000
0.888 0.611 0.000
0.388 0.889 0.000
0.612 0.111 0.000
0.213 0.000 0.574
0.713 0.500 0.574
0.787 0.000 0.426
0.287 0.500 0.426
```

Values from the calculation:
- Formation energy: -450 kJ/mol of formula units
- SG: No. 64
- Crystal system: orthorhombic

9.
# La2CeScTe4

A geometry-optimized La2CeScTe4 structure (PBE, the Alexandria database).

```
La2CeScTe4
1.0
4.420 0.000 0.000
0.000 7.737 0.164
0.000 -2.675 7.290
La Ce Sc Te
2 1 1 4
direct
0.500 0.000 0.500
0.000 0.500 0.500
0.500 0.500 0.000
0.000 0.000 0.000
0.500 0.231 0.227
0.500 0.769 0.773
0.000 0.243 0.764
0.000 0.757 0.236
```

Values from the calculation:
- SG: No. 10
- Crystal system: monoclinic
- Formation energy from raw total energies: -1.39 eV/atom

10.
# Pu2MgSi3Pt12

A geometry-optimized Pu2MgSi3Pt12 structure (PBE, the Alexandria database).

```
Pu2MgSi3Pt12
1.0
7.522 -0.414 -0.294
3.355 6.746 -0.294
3.355 1.953 6.463
Pu Mg Si Pt
2 1 3 12
direct
0.608 0.608 0.608
0.392 0.392 0.392
0.000 0.000 0.000
0.500 0.000 0.000
0.000 0.500 0.000
0.000 0.000 0.500
0.357 0.357 0.896
0.859 0.859 0.381
0.381 0.859 0.859
0.896 0.357 0.357
0.859 0.381 0.859
0.357 0.896 0.357
0.643 0.643 0.104
0.141 0.141 0.619
0.619 0.141 0.141
0.104 0.643 0.643
0.141 0.619 0.141
0.643 0.104 0.643
```

Values from the calculation:
- SG: No. 166
- Crystal system: trigonal
- Formation energy from raw total energies: -0.43 eV/atom

11.
# Rb4BiH

A geometry-optimized Rb4BiH structure (PBE, the Alexandria database).

```
Rb4BiH
1.0
7.352 -1.259 0.000
-3.421 10.349 0.000
-1.966 -4.545 7.395
Rb Bi H
8 2 2
direct
0.118 0.226 0.835
0.779 0.746 0.708
0.217 0.609 0.835
0.429 0.962 0.708
0.571 0.038 0.292
0.783 0.391 0.165
0.221 0.254 0.292
0.882 0.774 0.165
0.397 0.647 0.294
0.603 0.353 0.706
0.248 0.998 0.996
0.752 0.002 0.004
```

Values from the calculation:
- Offset from the most stable computed form: 0.21 eV/f.u.
- SG: No. 15
- Crystal system: monoclinic

12.
# Pa2HgPb

A geometry-optimized Pa2HgPb structure (PBE, the Alexandria database).

```
Pa2HgPb
1.0
5.349 0.000 0.000
2.674 4.632 0.000
2.674 1.544 4.367
Pb Pa Hg
1 2 1
direct
0.000 0.000 0.000
0.250 0.250 0.250
0.750 0.750 0.750
0.500 0.500 0.500
```

Values from the calculation:
- Offset from the most stable computed form: 0.64 eV/f.u.
- Formation energy: 105 kJ/mol of formula units
- SG: No. 225
- Crystal system: cubic

13.
# Co3W

A geometry-optimized Co3W structure (PBE, the Alexandria database).

```
Co3W
1.0
2.633 0.000 0.000
-1.317 4.235 0.005
0.000 -0.826 4.332
Co W
3 1
direct
0.994 0.988 0.985
0.506 0.012 0.515
0.250 0.500 0.750
0.750 0.500 0.250
```

Values from the calculation:
- Formation energy: 42 kJ/mol of formula units
- SG: No. 12
- Crystal system: monoclinic

14.
# Li3CuSb

A geometry-optimized Li3CuSb structure (PBE, the Alexandria database).

```
Li3CuSb
1.0
5.142 -0.688 0.277
-3.029 6.266 0.284
-1.999 -1.207 5.497
Li Cu Sb
6 2 2
direct
0.950 0.124 0.779
0.114 0.937 0.217
0.535 0.661 0.828
0.014 0.318 0.382
0.524 0.401 0.173
0.050 0.748 0.622
0.540 0.037 0.001
0.028 0.525 0.002
0.546 0.790 0.328
0.516 0.274 0.667
```

Values from the calculation:
- Offset from the most stable computed form: 0.00 eV/f.u.
- SG: No. 1
- Crystal system: triclinic
- Formation energy from raw total energies: -0.29 eV/atom

15.
# Tb5Ho12Mg

A geometry-optimized Tb5Ho12Mg structure (PBE, the Alexandria database).

```
Tb5Ho12Mg
1.0
-8.348 0.648 -11.690
1.552 -2.229 -10.076
-1.514 -4.748 0.817
Tb Ho Mg
5 12 1
direct
0.500 0.000 0.500
0.169 0.662 0.500
0.831 0.338 0.500
0.666 0.669 0.000
0.335 0.331 0.000
0.834 0.000 0.500
0.166 0.000 0.500
0.668 0.000 0.000
0.332 0.000 0.000
0.331 0.669 0.000
0.000 0.669 0.000
0.000 0.331 0.000
0.669 0.331 0.000
0.501 0.335 0.500
0.836 0.665 0.500
0.164 0.335 0.500
0.499 0.665 0.500
0.000 0.000 0.000
```

Values from the calculation:
- Formation energy: 48 kJ/mol of formula units
- SG: No. 65
- Crystal system: orthorhombic

16.
# GeBSe2N

A geometry-optimized GeBSe2N structure (PBE, the Alexandria database).

```
GeBSe2N
1.0
-0.862 -4.904 1.647
-0.433 -1.595 -4.977
3.400 -0.629 -0.094
Ge B Se N
1 1 2 1
direct
0.000 0.000 0.000
0.500 0.500 0.500
0.000 0.500 0.000
0.500 0.000 0.000
0.000 0.000 0.500
```

Values from the calculation:
- Offset from the most stable computed form: 6.57 eV/f.u.
- SG: No. 123
- Crystal system: tetragonal
- Formation energy from raw total energies: 1.51 eV/atom

17.
# Cd2CuAu8

A geometry-optimized Cd2CuAu8 structure (PBE, the Alexandria database).

```
Cd2CuAu8
1.0
-2.643 -4.928 -0.772
-1.747 -6.548 4.743
-6.472 -0.539 4.085
Cd Cu Au
2 1 8
direct
0.000 0.304 0.392
0.000 0.696 0.608
0.500 0.000 0.000
0.916 0.100 0.217
0.916 0.317 0.783
0.340 0.383 0.000
0.500 0.782 0.436
0.500 0.218 0.564
0.660 0.617 0.000
0.084 0.683 0.217
0.084 0.900 0.783
```

Values from the calculation:
- Offset from the most stable computed form: 0.67 eV/f.u.
- Formation energy: -14 kJ/mol of formula units
- SG: No. 12
- Crystal system: monoclinic

18.
# Pt2Se2O7

A geometry-optimized Pt2Se2O7 structure (PBE, the Alexandria database).

```
Pt2Se2O7
1.0
-5.774 -0.554 1.912
0.571 -5.317 0.273
1.324 2.165 4.715
Pt Se O
2 2 7
direct
0.500 0.317 0.683
0.500 0.683 0.317
0.873 0.268 0.268
0.127 0.732 0.732
0.307 0.948 0.610
0.693 0.390 0.052
0.693 0.052 0.390
0.307 0.610 0.948
0.000 0.000 0.000
0.705 0.576 0.576
0.295 0.424 0.424
```

Values from the calculation:
- SG: No. 12
- Crystal system: monoclinic
- Formation energy from raw total energies: -0.24 eV/atom

19.
# CsAgHg2Bi

A geometry-optimized CsAgHg2Bi structure (PBE, the Alexandria database).

```
CsAgHg2Bi
1.0
-5.535 -0.223 -1.209
1.172 -2.640 -4.879
-0.375 -5.060 2.648
Cs Bi Ag Hg
1 1 1 2
direct
0.500 0.500 0.500
0.000 0.000 0.500
0.000 0.000 0.000
0.000 0.500 0.000
0.500 0.000 0.000
```

Values from the calculation:
- Formation energy: -9 kJ/mol of formula units
- SG: No. 123
- Crystal system: tetragonal

20.
# BeReSi2

A geometry-optimized BeReSi2 structure (PBE, the Alexandria database).

```
BeReSi2
1.0
-2.302 0.873 1.120
-1.401 -1.748 -1.517
0.613 -4.890 5.069
Re Si Be
1 2 1
direct
0.500 0.500 0.730
0.000 0.000 0.989
0.500 0.500 0.277
0.000 0.000 0.503
```

Values from the calculation:
- SG: No. 99
- Crystal system: tetragonal
- Formation energy from raw total energies: 0.34 eV/atom